CePaCoS4 after structural relaxation, computed with PBE-GGA.

Computed properties:
E_tot = -98.8 eV per cell
formation energy (no corrections) = -1.48 eV per atom
space-group type = P2_1/m (11)
size of the total moment = 0.6 μB per cell

```
CePaCoS4
1.0
-1.1478 0.2548 -6.2124
5.2294 -2.2052 -1.0566
-2.4033 -6.8650 2.4331
S Pa Co Ce
8 2 2 2
Direct
0.5719 0.2500 0.8792
0.0179 0.9903 0.7495
0.5780 0.2500 0.3969
0.9821 0.0097 0.2505
0.4220 0.7500 0.6031
0.9821 0.4903 0.2505
0.4281 0.7500 0.1208
0.0179 0.5097 0.7495
0.2459 0.2500 0.5577
0.7541 0.7500 0.4423
0.2378 0.7500 0.3191
0.7622 0.2500 0.6809
0.7435 0.7500 0.9355
0.2565 0.2500 0.0645
```

=====

CePaCo5Si2 after structural relaxation, computed with PBE-GGA.

Computed properties:
E_tot = -65.9 eV per cell
formation energy (no corrections) = -0.45 eV per atom
space-group type = P4/mmm (123)
size of the total moment = 0.0 μB per cell

```
CePaCo5Si2
1.0
-3.2668 -1.6211 1.5388
-0.7405 -1.7863 -3.4539
4.4074 -6.5587 2.4471
Si Co Pa Ce
2 5 1 1
Direct
0.5000 0.5000 0.8515
0.5000 0.5000 0.1485
0.0000 0.5000 0.7287
0.5000 0.5000 0.5000
0.0000 0.5000 0.2713
0.5000 0.0000 0.7287
0.5000 0.0000 0.2713
0.0000 0.0000 0.0000
0.0000 0.0000 0.5000
```

=====

CePaCoTc after structural relaxation, computed with PBE-GGA.

Computed properties:
formation energy = -0.07 eV per atom
E_tot = -33.2 eV per cell
space-group type = F-43m (216)
size of the total moment = 0.1 μB per cell

```
CePaCoTc
1.0
4.7994 0.0000 0.0000
2.3997 4.1564 0.0000
2.3997 1.3855 3.9187
Co Tc Pa Ce
1 1 1 1
Direct
0.2500 0.2500 0.2500
0.7500 0.7500 0.7500
0.0000 0.0000 0.0000
0.5000 0.5000 0.5000
```

=====

CeTm2PaCo2 after structural relaxation, computed with PBE-GGA.

Computed properties:
formation energy = -0.15 eV per atom
E_tot = -79.0 eV per cell
space-group type = Ibam (72)
size of the total moment = 0.0 μB per cell

```
CeTm2PaCo2
1.0
6.8357 0.0000 0.0000
0.0000 6.9323 0.0000
-3.4178 -3.4661 5.9991
Co Tm Ce Pa
4 4 2 2
Direct
0.9252 0.1985 0.8503
0.5748 0.3482 0.1497
0.0748 0.8015 0.1497
0.4252 0.6518 0.8503
0.7968 0.5094 0.5936
0.2032 0.4906 0.4064
0.7032 0.9158 0.4064
0.2968 0.0842 0.5936
0.2500 0.0000 0.0000
0.7500 0.0000 0.0000
0.2500 0.5000 0.0000
0.7500 0.5000 0.0000
```

=====

CeY2PaCo2 after structural relaxation, computed with PBE-GGA.

Computed properties:
formation energy = -0.17 eV per atom
E_tot = -87.2 eV per cell
space-group type = Ibam (72)
size of the total moment = 0.0 μB per cell

```
CeY2PaCo2
1.0
6.8557 0.0000 0.0000
0.0000 6.9371 0.0000
-3.4278 -3.4685 6.0963
Pa Ce Y Co
2 2 4 4
Direct
0.7500 0.5000 0.0000
0.2500 0.5000 0.0000
0.2500 0.0000 0.0000
0.7500 0.0000 0.0000
0.2016 0.4824 0.4033
0.2984 0.0791 0.5967
0.7984 0.5176 0.5967
0.7016 0.9209 0.4033
0.0730 0.8012 0.1459
0.5730 0.3447 0.1459
0.4270 0.6553 0.8541
0.9270 0.1988 0.8541
```

=====

Ce6Co2Pb3 after structural relaxation, computed with PBE-GGA.

Computed properties:
formation energy = -0.21 eV per atom
E_tot = -63.3 eV per cell
space-group type = I4/mmm (139)
size of the total moment = 2.9 μB per cell

```
Ce6Co2Pb3
1.0
4.9848 0.0000 0.0000
0.0000 4.9848 0.0000
-2.4924 -2.4924 12.9963
Ce Co Pb
6 2 3
Direct
0.4160 0.9159 0.8319
0.0840 0.5841 0.1681
0.7001 0.7001 0.4002
0.5840 0.0841 0.1681
0.9160 0.4159 0.8319
0.2999 0.2999 0.5998
0.5970 0.5970 0.1940
0.4030 0.4030 0.8060
0.8250 0.8250 0.6500
0.0000 0.0000 0.0000
0.1750 0.1750 0.3500
```

=====

no.,V (Å³/cell)
1,267.84
2,129.61
3,78.17
4,284.28
5,289.93
6,322.94